PmBeH5: relaxed, GGA-PBE.

Cell: 3.6398 4.6158 6.4161 Å, 90.00 90.00 90.00°
Last column: nearest neighbours and their distance in Å.
Space group Immm (No. 71)
Unique sites:
Pm (0.0000, 0.0000, 0.0000) x2  14 H 2.31-2.44
Be (0.0000, 0.0000, 0.5000) x2  4 H 1.53
H (0.0000, 0.2443, 0.3381) x8  1 Be 1.53
H (0.0000, 0.5000, 0.0000) x2  2 Be 1.82

Output
Magnetization in Bohr magnetons per cell: 0.00
VASP energy in eV/cell: -54.64

PmBe2H6: relaxed, GGA-PBE.

Cell: 4.0858 4.0932 5.6078 Å, 111.18 111.19 90.27°
Last column: nearest neighbours and their distance in Å.
Space group P-1 (No. 2)
Unique sites:
Pm (0.0000, 0.0000, 0.0000) x1  10 H 2.31-2.39
Be (0.3190, 0.8194, 0.5002) x2  4 H 1.42-1.51
H (0.0578, 0.6048, 0.2342) x2  1 Be 1.42
H (0.3042, 0.1778, 0.4831) x2  2 Be 1.50-1.51
H (0.3713, 0.8202, 0.7658) x2  1 Be 1.42

Output
Energy relative to the lowest polymorph listed for this composition in meV/atom: 0.0
Magnetization in Bohr magnetons per cell: 0.00
VASP energy in eV/cell: -34.29

PmBe2H7: relaxed, GGA-PBE.

Cell: 5.3452 8.3223 3.3081 Å, 90.00 90.00 90.00°
Last column: nearest neighbours and their distance in Å.
Space group Cmmm (No. 65)
Unique sites:
Pm (0.0000, 0.0000, 0.0000) x2  10 H 2.26-2.40
Be (0.0000, 0.3084, 0.5000) x4  7 H 1.59-1.73
H (0.0000, 0.2878, 0.0000) x4  2 Be 1.66
H (0.0000, 0.5000, 0.5000) x2  2 Be 1.59
H (0.1865, 0.1404, 0.5000) x8  2 Be 1.72-1.73

Output
Magnetization in Bohr magnetons per cell: 0.00
VASP energy in eV/cell: -72.35

PmBe2H6: relaxed, GGA-PBE.

Cell: 6.7578 6.7578 6.7578 Å, 90.00 90.00 90.00°
Last column: nearest neighbours and their distance in Å.
Space group Fm-3m (No. 225)
Unique sites:
Pm (0.0000, 0.0000, 0.0000) x4  6 H 2.14
Be (0.2500, 0.2500, 0.2500) x8  12 H 2.43
H (0.0000, 0.0000, 0.3163) x24  4 H 1.76

Output
Energy relative to the lowest polymorph listed for this composition in meV/atom: 1194.3
Magnetization in Bohr magnetons per cell: 0.00
VASP energy in eV/cell: -94.18